1.
DFT (PBE) results for a relaxed structure of BaPuBiO2.

DOS at the Fermi energy   1.4411 states/eV/atom
Space-group type   No. 63
Total DFT energy (no corrections)   -8.128 eV per atom

Cell: 5.745 6.030 7.937 Å, 112.33 90.00 90.00°
Site moments in Bohr magnetons follow the coordinates.
Atoms (fractional coordinates):
Ba 0.250 0.600 0.200  0.00
Ba 0.750 0.400 0.800  0.00
Pu 0.250 0.933 0.866  4.55
Pu 0.750 0.067 0.134  4.55
Bi 0.750 0.751 0.503  -0.15
Bi 0.250 0.249 0.497  -0.15
O 0.500 0.218 0.000  -0.12
O 0.000 0.782 0.000  -0.12
O 0.500 0.782 0.000  -0.12
O 0.000 0.218 0.000  -0.12

=====

2.
DFT (PBE) results for a relaxed structure of Ba2MgHg4Pb2.

DOS at the Fermi energy   0.4113 states/eV/atom
ΔE_f   -0.370 eV/atom
Space-group type   No. 139

Cell: 7.404 7.404 7.404 Å, 88.46 120.89 120.89°
Atoms (fractional coordinates):
Ba 0.500 0.750 0.250
Ba 0.500 0.250 0.750
Mg 0.000 0.000 0.000
Hg 0.000 0.727 0.273
Hg 0.455 0.727 0.727
Hg 0.000 0.273 0.727
Hg 0.545 0.273 0.273
Pb 0.000 0.701 0.701
Pb 0.000 0.299 0.299

=====

3.
DFT (PBE) results for a relaxed structure of Pm2Y3Er2.

DOS at the Fermi energy   1.6108 states/eV/atom
ΔE_f   0.124 eV/atom
Energy above the lowest structure with this stoichiometry   0.0 meV/atom
Space-group type   No. 12

Cell: 3.508 8.579 8.958 Å, 118.69 101.29 90.00°
Atoms (fractional coordinates):
Pm 0.566 0.913 0.132
Pm 0.434 0.087 0.868
Y 0.000 0.500 0.000
Y 0.212 0.798 0.424
Y 0.788 0.202 0.576
Er 0.851 0.668 0.701
Er 0.149 0.332 0.299

=====

4.
DFT (PBE) results for a relaxed structure of NdY7Ho2.

DOS at the Fermi energy   2.0434 states/eV/atom
ΔE_f   0.219 eV/atom
Energy above the lowest structure with this stoichiometry   0.0 meV/atom
Space-group type   No. 65

Cell: 3.453 15.128 15.128 Å, 155.28 90.00 90.00°
Atoms (fractional coordinates):
Nd 0.000 0.000 0.000
Y 0.000 0.690 0.310
Y 0.000 0.310 0.690
Y 0.500 0.145 0.347
Y 0.500 0.855 0.653
Y 0.500 0.347 0.145
Y 0.500 0.653 0.855
Y 0.500 0.500 0.500
Ho 0.500 0.793 0.207
Ho 0.500 0.207 0.793

=====

5.
DFT (PBE) results for a relaxed structure of CaZr2Tl.

DOS at the Fermi energy   1.4810 states/eV/atom
ΔE_f   0.254 eV/atom
Energy above the lowest structure with this stoichiometry   290.4 meV/atom
Space-group type   No. 65

Cell: 3.241 3.241 11.246 Å, 90.00 90.00 117.09°
Atoms (fractional coordinates):
Tl 0.500 0.500 0.750
Ca 0.500 0.500 0.250
Zr 0.000 0.000 0.982
Zr 0.000 0.000 0.518

=====

6.
DFT (PBE) results for a relaxed structure of BaBe4Ge3O12.

DOS at the Fermi energy   0.4708 states/eV/atom
Space-group type   No. 155
Total DFT energy (no corrections)   -6.433 eV per atom

Cell: 6.272 6.272 6.272 Å, 105.50 105.50 105.50°
Site moments in Bohr magnetons follow the coordinates.
Atoms (fractional coordinates):
Ba 0.000 0.000 0.000  0.03
Be 0.934 0.066 0.500  -0.01
Be 0.066 0.500 0.934  -0.01
Be 0.500 0.934 0.066  -0.01
Be 0.500 0.500 0.500  0.00
Ge 0.565 0.435 0.000  -0.01
Ge 0.435 0.000 0.565  -0.01
Ge 0.000 0.565 0.435  -0.01
O 0.500 0.341 0.659  0.10
O 0.908 0.500 0.092  0.04
O 0.092 0.908 0.500  0.04
O 0.500 0.092 0.908  0.04
O 0.380 0.962 0.249  0.22
O 0.249 0.380 0.962  0.22
O 0.962 0.249 0.380  0.22
O 0.620 0.751 0.038  0.22
O 0.038 0.620 0.751  0.22
O 0.751 0.038 0.620  0.22
O 0.659 0.500 0.341  0.10
O 0.341 0.659 0.500  0.10

=====

7.
DFT (PBE) results for a relaxed structure of BiPt.

DOS at the Fermi energy   0.5684 states/eV/atom
ΔE_f   -0.175 eV/atom
Space-group type   No. 2

Cell: 4.277 4.269 6.470 Å, 72.19 72.18 63.90°
Atoms (fractional coordinates):
Bi 0.385 0.887 0.290
Bi 0.615 0.113 0.710
Pt 0.793 0.294 0.101
Pt 0.207 0.706 0.899

=====

8.
DFT (PBE) results for a relaxed structure of NpU2O6.

DOS at the Fermi energy   1.8755 states/eV/atom
Space-group type   No. 164
Total DFT energy (no corrections)   -10.496 eV per atom

Cell: 3.831 3.831 9.366 Å, 90.00 90.00 120.00°
Site moments in Bohr magnetons follow the coordinates.
Atoms (fractional coordinates):
Np 0.000 0.000 0.000  3.40
U 0.333 0.667 0.668  1.85
U 0.667 0.333 0.332  1.85
O 0.000 0.000 0.256  -0.07
O 0.333 0.667 0.911  -0.08
O 0.667 0.333 0.582  -0.06
O 0.667 0.333 0.089  -0.08
O 0.000 0.000 0.744  -0.07
O 0.333 0.667 0.418  -0.06

=====

9.
DFT (PBE) results for a relaxed structure of SrHoS2O8.

DOS at the Fermi energy   0.1224 states/eV/atom
Space-group type   No. 147
Total DFT energy (no corrections)   -6.533 eV per atom

Cell: 5.168 5.168 7.858 Å, 90.00 90.00 120.00°
Site moments in Bohr magnetons follow the coordinates.
Atoms (fractional coordinates):
Sr 0.000 0.000 0.000  0.00
Ho 0.000 0.000 0.500  0.22
S 0.667 0.333 0.218  0.00
S 0.333 0.667 0.782  0.00
O 0.333 0.667 0.971  0.00
O 0.352 0.177 0.279  0.00
O 0.823 0.175 0.279  0.00
O 0.667 0.333 0.029  0.00
O 0.177 0.825 0.721  0.00
O 0.648 0.823 0.721  0.00
O 0.175 0.352 0.721  0.00
O 0.825 0.648 0.279  0.00

=====

10.
DFT (PBE) results for a relaxed structure of Tb4Nd3Ga4.

DOS at the Fermi energy   1.0392 states/eV/atom
ΔE_f   -0.372 eV/atom
Space-group type   No. 71

Cell: 5.015 7.092 9.491 Å, 111.94 105.32 90.00°
Atoms (fractional coordinates):
Tb 0.324 0.096 0.647
Tb 0.676 0.449 0.353
Tb 0.676 0.904 0.353
Tb 0.324 0.551 0.647
Nd 0.102 0.102 0.204
Nd 0.898 0.898 0.796
Nd 0.000 0.500 0.000
Ga 0.183 0.683 0.366
Ga 0.817 0.317 0.634
Ga 0.500 0.809 0.000
Ga 0.500 0.191 0.000

=====

11.
DFT (PBE) results for a relaxed structure of CaNd4Y15.

DOS at the Fermi energy   1.6044 states/eV/atom
ΔE_f   0.040 eV/atom
Space-group type   No. 123

Cell: 5.111 5.111 25.495 Å, 90.00 90.00 90.00°
Atoms (fractional coordinates):
Ca 0.000 0.000 0.000
Nd 0.000 0.000 0.201
Nd 0.000 0.000 0.401
Nd 0.000 0.000 0.599
Nd 0.000 0.000 0.799
Y 0.500 0.500 0.000
Y 0.500 0.500 0.201
Y 0.500 0.500 0.400
Y 0.500 0.500 0.600
Y 0.500 0.500 0.799
Y 0.500 0.000 0.104
Y 0.500 0.000 0.301
Y 0.500 0.000 0.500
Y 0.500 0.000 0.699
Y 0.500 0.000 0.896
Y 0.000 0.500 0.104
Y 0.000 0.500 0.301
Y 0.000 0.500 0.500
Y 0.000 0.500 0.699
Y 0.000 0.500 0.896

=====

12.
DFT (PBE) results for a relaxed structure of Be2TcW.

DOS at the Fermi energy   0.9764 states/eV/atom
ΔE_f   0.132 eV/atom
Energy above the lowest structure with this stoichiometry   353.4 meV/atom
Space-group type   No. 99

Cell: 3.060 3.060 5.370 Å, 90.00 90.00 90.00°
Atoms (fractional coordinates):
Be 0.000 0.000 0.027
Be 0.500 0.500 0.233
Tc 0.000 0.000 0.493
W 0.500 0.500 0.747

=====

13.
DFT (PBE) results for a relaxed structure of Mn2NbMoN.

DOS at the Fermi energy   1.0151 states/eV/atom
Space-group type   No. 123
Total DFT energy (no corrections)   -9.693 eV per atom

Cell: 3.857 3.857 4.154 Å, 90.00 90.00 90.00°
Site moments in Bohr magnetons follow the coordinates.
Atoms (fractional coordinates):
Mo 0.000 0.000 0.500  0.00
Mn 0.000 0.500 0.000  0.87
Mn 0.500 0.000 0.000  0.87
Nb 0.500 0.500 0.500  -0.24
N 0.000 0.000 0.000  -0.05

=====

14.
DFT (PBE) results for a relaxed structure of PmSmPaN3.

DOS at the Fermi energy   0.3949 states/eV/atom
Space-group type   No. 11
Total DFT energy (no corrections)   -8.731 eV per atom

Cell: 3.498 5.999 9.474 Å, 94.75 90.00 90.00°
Atoms (fractional coordinates):
Pm 0.750 0.721 0.732
Pm 0.250 0.279 0.268
Sm 0.250 0.189 0.619
Sm 0.750 0.811 0.381
Pa 0.250 0.756 0.056
Pa 0.750 0.244 0.944
N 0.250 0.788 0.551
N 0.750 0.014 0.132
N 0.750 0.523 0.137
N 0.750 0.212 0.449
N 0.250 0.477 0.863
N 0.250 0.986 0.868

=====

15.
DFT (PBE) results for a relaxed structure of Sm15DyEr4.

DOS at the Fermi energy   1.3377 states/eV/atom
ΔE_f   0.015 eV/atom
Space-group type   No. 123

Cell: 5.093 5.093 25.385 Å, 90.00 90.00 90.00°
Atoms (fractional coordinates):
Sm 0.500 0.500 0.000
Sm 0.500 0.500 0.200
Sm 0.500 0.500 0.400
Sm 0.500 0.500 0.600
Sm 0.500 0.500 0.800
Sm 0.500 0.000 0.100
Sm 0.500 0.000 0.300
Sm 0.500 0.000 0.500
Sm 0.500 0.000 0.700
Sm 0.500 0.000 0.900
Sm 0.000 0.500 0.100
Sm 0.000 0.500 0.300
Sm 0.000 0.500 0.500
Sm 0.000 0.500 0.700
Sm 0.000 0.500 0.900
Dy 0.000 0.000 0.000
Er 0.000 0.000 0.200
Er 0.000 0.000 0.400
Er 0.000 0.000 0.600
Er 0.000 0.000 0.800

=====

16.
DFT (PBE) results for a relaxed structure of LiCaAc2Hg6.

DOS at the Fermi energy   0.7179 states/eV/atom
ΔE_f   -0.432 eV/atom
Space-group type   No. 2

Cell: 4.964 9.991 11.658 Å, 31.82 77.78 89.91°
Atoms (fractional coordinates):
Li 0.000 0.000 0.000
Ca 0.500 0.500 0.000
Ac 0.292 0.780 0.414
Ac 0.708 0.220 0.586
Hg 0.994 0.711 0.012
Hg 0.399 0.673 0.202
Hg 0.199 0.945 0.602
Hg 0.006 0.289 0.988
Hg 0.601 0.327 0.798
Hg 0.801 0.055 0.398

=====

17.
DFT (PBE) results for a relaxed structure of CePrSm2.

DOS at the Fermi energy   1.9069 states/eV/atom
ΔE_f   0.062 eV/atom
Energy above the lowest structure with this stoichiometry   0.0 meV/atom
Space-group type   No. 123

Cell: 3.584 3.584 10.302 Å, 90.00 90.00 90.00°
Site moments in Bohr magnetons follow the coordinates.
Atoms (fractional coordinates):
Pr 0.500 0.500 0.500  0.01
Ce 0.500 0.500 0.000  0.46
Sm 0.000 0.000 0.764  0.00
Sm 0.000 0.000 0.236  0.00

=====

18.
DFT (PBE) results for a relaxed structure of NpNiPH.

DOS at the Fermi energy   1.8636 states/eV/atom
Space-group type   No. 156
Total DFT energy (no corrections)   -7.536 eV per atom

Cell: 3.934 3.933 3.859 Å, 90.00 90.00 120.00°
Site moments in Bohr magnetons follow the coordinates.
Atoms (fractional coordinates):
Np 0.572 0.144 0.305  3.39
Ni 0.239 0.477 0.780  -0.01
P 0.905 0.810 0.825  -0.08
H 0.239 0.477 0.330  -0.01

=====

19.
DFT (PBE) results for a relaxed structure of Y2Zn5Pd.

DOS at the Fermi energy   0.5395 states/eV/atom
ΔE_f   -0.445 eV/atom
Space-group type   No. 63

Cell: 4.174 8.345 9.025 Å, 90.00 90.00 104.48°
Atoms (fractional coordinates):
Y 0.811 0.623 0.750
Y 0.189 0.377 0.250
Y 0.000 0.000 0.000
Y 0.000 0.000 0.500
Zn 0.193 0.385 0.892
Zn 0.807 0.615 0.108
Zn 0.193 0.385 0.608
Zn 0.807 0.615 0.392
Zn 0.352 0.705 0.978
Zn 0.648 0.295 0.022
Zn 0.352 0.705 0.522
Zn 0.648 0.295 0.478
Zn 0.607 0.214 0.750
Zn 0.393 0.786 0.250
Pd 0.449 0.899 0.750
Pd 0.551 0.101 0.250

=====

20.
DFT (PBE) results for a relaxed structure of PdF.

DOS at the Fermi energy   0.8503 states/eV/atom
Energy above the lowest structure with this stoichiometry   435.2 meV/atom
Space-group type   No. 217

Cell: 7.267 7.267 7.267 Å, 90.00 90.00 90.00°
Site moments in Bohr magnetons follow the coordinates.
Atoms (fractional coordinates):
Pd 0.373 0.373 0.373  0.90
Pd 0.373 0.627 0.627  0.90
Pd 0.627 0.373 0.627  0.90
Pd 0.627 0.627 0.373  0.90
Pd 0.873 0.873 0.873  0.90
Pd 0.873 0.127 0.127  0.90
Pd 0.127 0.873 0.127  0.90
Pd 0.127 0.127 0.873  0.90
F 0.205 0.205 0.205  0.10
F 0.205 0.795 0.795  0.10
F 0.795 0.205 0.795  0.10
F 0.795 0.795 0.205  0.10
F 0.705 0.705 0.705  0.10
F 0.705 0.295 0.295  0.10
F 0.295 0.705 0.295  0.10
F 0.295 0.295 0.705  0.10

=====

21.
DFT (PBE) results for a relaxed structure of TbPm2Dy6Mg.

DOS at the Fermi energy   1.4887 states/eV/atom
ΔE_f   0.105 eV/atom
Space-group type   No. 15

Cell: 6.623 10.981 10.981 Å, 126.36 85.87 85.87°
Atoms (fractional coordinates):
Tb 0.250 0.993 0.007
Tb 0.750 0.007 0.993
Pm 0.502 0.815 0.651
Pm 0.998 0.349 0.185
Pm 0.498 0.185 0.349
Pm 0.002 0.651 0.815
Dy 0.029 0.089 0.794
Dy 0.471 0.206 0.911
Dy 0.971 0.911 0.206
Dy 0.529 0.794 0.089
Dy 0.278 0.915 0.437
Dy 0.222 0.563 0.085
Dy 0.722 0.085 0.563
Dy 0.778 0.437 0.915
Dy 0.017 0.704 0.529
Dy 0.483 0.471 0.296
Dy 0.983 0.296 0.471
Dy 0.517 0.529 0.704
Mg 0.250 0.293 0.707
Mg 0.750 0.707 0.293